A plane-wave DFT calculation with GGA+U was carried out for TeMoNF2 after structural relaxation.

For the theoretical density, the calculation gives 5.164 g/cm3. The value obtained for the spin magnetization is 4.89 μB per cell. The value obtained for the uncorrected energy is -4.454 eV per atom.

The structure belongs to space group P4/mmm (No. 123); the cell edges are 4.639, 4.639 and 4.117 Å and the angles 90.00°, 90.00° and 90.00°. The distinct sites, in fractional coordinates, are Te at (0.000, 0.000, 0.000), Mo at (0.500, 0.500, 0.500), N at (0.000, 0.000, 0.500) and F at (0.000, 0.500, 0.000).